Entry 1:
## TmNp6Se8 (PBE-GGA)

Data for an optimized crystal structure of TmNp6Se8.

The space group is Fm-3m (225). The value obtained for the calculated volume is 387 Å³ per cell. Its density is 9.5 Mg/m³. As for the raw formation energy: -1753.1 kJ/mol of formula units.

a = 8.178 Å, b = 8.178 Å, c = 8.178 Å
α = 60.00°, β = 60.00°, γ = 60.00°
Element x y z (fractional)
Tm  0.000  0.000  0.000
Np  0.000  0.500  0.500
Np  0.500  0.000  0.000
Np  0.500  0.500  0.000
Np  0.000  0.000  0.500
Np  0.000  0.500  0.000
Np  0.500  0.000  0.500
Se  0.750  0.750  0.750
Se  0.250  0.250  0.250
Se  0.751  0.249  0.249
Se  0.249  0.751  0.751
Se  0.249  0.249  0.751
Se  0.751  0.751  0.249
Se  0.751  0.249  0.751
Se  0.249  0.751  0.249

***

Entry 2:
## ReIrNF2 (PBE-GGA)

Data for an optimized crystal structure of ReIrNF2.

The space group is P4/mmm (123). The value obtained for the calculated volume is 66 Å³ per cell. Its density is 10.8 Mg/m³. Its relative energy among the computed polymorphs is 0.00 eV per formula unit. As for the raw formation energy: 266.4 kJ/mol of formula units.

a = 4.151 Å, b = 4.151 Å, c = 3.848 Å
α = 90.00°, β = 90.00°, γ = 90.00°
Element x y z (fractional)
Re  0.000  0.000  0.000
N  0.000  0.000  0.500
Ir  0.500  0.500  0.500
F  0.000  0.500  0.000
F  0.500  0.000  0.000

***

- Which formula does entry 2 have?
  ReIrNF2